12
Lattice="-4.9676 -1.9249 2.5406 5.1914 -0.7929 2.6939 -0.6896 5.7789 3.0300" Properties=species:S:1:pos:R:3 comment="K2AcOsO8, relaxed, DFT PBE" final_energy_ev_per_cell=-70.88 m_tot_mub_per_cell=3.05 spacegroup="P-3m1 (164)" e_form_raw_ev_per_fu=-13.68 pbc="T T T"
O 1.4575 1.7427 4.1701
O -4.0574 3.0123 5.0651
O 3.5916 0.0488 3.1993
O 0.7947 -1.0350 4.6298
O -1.1344 2.5658 6.5819
Os 0.0000 0.0000 0.0000
K 1.1901 3.9834 5.3450
O -1.2604 4.0961 3.6347
O 0.6686 0.4952 1.6826
K -1.6558 -0.9224 2.9195
Ac -0.3448 2.8894 1.5150
O -1.9232 1.3183 4.0944


20
Lattice="-3.1431 5.6465 3.1808 -5.0447 -4.2024 -2.9616 3.6905 -3.7706 4.9034" Properties=species:S:1:pos:R:3 comment="K4AcOs3O12, relaxed, DFT PBE" final_energy_ev_per_cell=-129.82 m_tot_mub_per_cell=1.02 spacegroup="Im-3m (229)" e_form_raw_ev_per_fu=-28.13 pbc="T T T"
Os 0.2737 0.9380 4.0421
O -2.7241 -3.6255 1.0257
O -4.4325 -1.2712 0.5951
O -5.9028 1.0411 0.1581
Os -0.6771 -3.9865 0.9709
O -0.9763 -5.7479 1.3999
O -2.2850 0.4030 0.0612
O -0.3779 -2.2251 0.5419
O -3.9570 1.1911 2.1307
Os -4.0939 0.7221 0.1096
K 1.8452 -1.8853 2.4517
Ac 0.0000 0.0000 0.0000
K -2.5224 -2.1012 -1.4808
O 0.3946 1.3524 5.8281
O -0.0649 -1.0553 4.5276
K -2.2487 -1.1632 2.5613
O 0.1528 0.5235 2.2561
O -0.5403 -3.5175 2.9920
K -1.5715 2.8233 1.5904
O -1.7733 1.2990 4.0969


20
Lattice="-5.5482 2.4681 1.1064 0.7923 -0.9327 6.0533 3.6588 7.8943 0.7375" Properties=species:S:1:pos:R:3 comment="K2AcOsO6, relaxed, DFT PBE" final_energy_ev_per_cell=-131.77 m_tot_mub_per_cell=0.69 spacegroup="Pmmn (59)" e_form_raw_ev_per_fu=-18.60 pbc="T T T"
O -0.4420 -0.3657 6.1081
Os -0.7474 4.9489 2.4295
Ac -2.5752 0.9999 2.0727
K 1.1125 1.7428 1.6912
O 1.3930 1.0219 4.7057
K 2.9406 5.6871 2.0597
O 0.6364 4.2069 3.5070
O 0.0509 6.6709 2.5913
K 0.5657 6.4556 5.6530
O -3.5704 1.0259 6.7320
O -3.9147 1.4321 4.0916
O 3.4554 5.4718 5.1214
Os 0.5950 -0.7004 4.5458
Ac 2.4228 3.2486 4.9025
K -1.2650 2.5057 5.2840
O -1.7859 5.2844 3.9900
O -2.1302 5.6906 1.3497
O 0.2896 4.6142 0.8672
O -1.5455 3.2265 2.2695
O -0.7888 0.0416 3.4683


18
Lattice="6.9101 -0.2797 -0.1984 3.1694 6.1468 -0.1984 3.1694 1.8448 5.8668" Properties=species:S:1:pos:R:3 comment="K2AcOs3O12, relaxed, DFT PBE" final_energy_ev_per_cell=-126.34 m_tot_mub_per_cell=0.00 spacegroup="R-3m (166)" e_form_raw_ev_per_fu=-26.85 pbc="T T T"
O 10.1169 5.8889 2.3520
K 7.9561 4.6311 3.2848
O 10.1169 4.1665 4.7802
Os 1.5847 0.9224 2.9334
O 5.4760 3.1875 5.0794
O 7.7729 1.8644 4.1409
O 4.6297 0.9725 0.6898
O 7.7729 4.5245 0.3906
Os 1.5847 3.0734 -0.0992
O 5.4760 5.8476 1.3291
O 5.4598 5.8381 4.1409
O 8.6193 6.7395 4.7802
O 3.1320 3.5454 0.6898
O 3.1320 1.8231 3.1180
K 5.2929 3.0809 2.1852
Os 3.4551 -0.1398 -0.0992
Ac 0.0000 0.0000 0.0000
O 7.7891 1.8738 1.3291


15
Lattice="-2.0085 6.0555 -3.6872 2.1793 -6.0008 -3.6787 -6.7418 -0.0880 3.5271" Properties=species:S:1:pos:R:3 comment="K3Ac3OsO8, relaxed, DFT PBE" final_energy_ev_per_cell=-98.77 m_tot_mub_per_cell=2.02 spacegroup="R-3m (166)" e_form_raw_ev_per_fu=-32.26 pbc="T T T"
O -4.0675 -1.2496 0.1632
Ac -4.3751 2.9837 -0.0801
O -2.5034 1.2162 -4.0021
O -2.8199 -4.6848 -1.9429
Ac -2.2812 -3.0444 -0.0758
K 0.0000 0.0000 0.0000
K 0.0854 0.0273 -3.6830
Os -3.3709 -0.0440 1.7635
O -2.6013 1.1850 0.2147
K 1.0897 -3.0004 -1.8394
O -3.7510 4.6515 -1.8961
Ac -3.2855 -0.0167 -1.9195
O -3.9696 -1.2183 -4.0536
O -1.3841 -1.6081 -1.8871
O -5.1868 1.5748 -1.9518


12
Lattice="-5.0238 3.5771 0.0921 -0.4887 -5.9656 -1.4887 -1.1514 -1.8138 7.6464" Properties=species:S:1:pos:R:3 comment="KAcOs2O8, relaxed, DFT PBE" final_energy_ev_per_cell=-85.81 m_tot_mub_per_cell=4.01 spacegroup="P-3m1 (164)" e_form_raw_ev_per_fu=-18.48 pbc="T T T"
Ac -0.5757 -0.9069 3.8232
O -1.8550 -2.7386 4.8870
O -4.6501 -1.3965 7.1225
Os -3.7545 0.0144 1.1746
Os -2.9094 -4.2167 5.0751
O -4.4857 -3.8703 4.2224
O -4.8089 -1.4637 1.3628
O -4.5684 1.3789 2.0733
O -2.0138 -2.8058 -0.8728
O -2.1781 -0.3321 2.0273
K 0.0000 0.0000 0.0000
O -2.0954 -5.5812 4.1765


10
Lattice="-5.7293 0.5624 0.2427 -3.3904 -4.4979 -1.2143 -2.9489 -3.0430 5.8344" Properties=species:S:1:pos:R:3 comment="KAcP2O6, relaxed, DFT PBE" final_energy_ev_per_cell=-68.97 m_tot_mub_per_cell=2.00 spacegroup="R-3 (148)" e_form_raw_ev_per_fu=-23.20 pbc="T T T"
O -6.4304 -1.9281 4.3712
O -7.5616 -5.2080 3.4659
K 0.0000 0.0000 0.0000
O -4.0496 -4.4999 3.6130
O -5.6382 -5.0504 0.4917
O -4.5071 -1.7705 1.3970
O -8.0190 -2.4786 1.2498
P -9.0477 -5.3064 3.9053
Ac -6.0343 -3.4892 2.4314
P -3.0210 -1.6720 0.9576


12
Lattice="-5.6786 0.4743 0.5842 -3.4400 -4.1136 -2.0143 -2.6507 -4.8256 6.2364" Properties=species:S:1:pos:R:3 comment="K2AcP2O7, relaxed, DFT PBE" final_energy_ev_per_cell=-80.13 m_tot_mub_per_cell=0.25 spacegroup="R-3m (166)" e_form_raw_ev_per_fu=-28.30 pbc="T T T"
Ac -5.8846 -4.2324 2.4032
O -7.6489 -4.0283 0.5327
O 0.0000 0.0000 0.0000
P -9.0360 -4.4063 -0.0046
O -5.7536 -1.7731 1.6365
O -7.2433 -4.1756 4.5949
K -2.9839 -1.7300 0.4839
K -8.7853 -6.7348 4.3224
O -6.0068 -6.6924 3.1689
P -2.7332 -4.0585 4.8109
O -4.5312 -4.2955 0.2083
O -4.1237 -4.4294 4.2777